{"formula": "MgCdGa4", "functional": "PBE", "state": "relaxed", "sg": "C2/m", "magnetic_moment_mub_per_cell": 0.0, "relative_energy_ev_per_atom": 0.0000, "dos_ef_per_ev_fu": 1.95, "energy_ev_per_atom": -2.458, "lattice": [[3.994, 0.006, -1.807], [-2.828, 5.034, -1.127], [0.345, -0.199, 5.870]], "species": ["Ga", "Ga", "Mg", "Ga", "Cd", "Ga"], "fractional_positions": [[0.754, 0.917, 0.091], [0.246, 0.409, 0.583], [0.500, 0.000, 0.500], [0.754, 0.591, 0.417], [0.000, 0.500, 0.000], [0.246, 0.083, 0.909]]}